A relaxed SrAc3Hg2 crystal. Source: Alexandria, functional PBE.

Calculated values
- Calculated total energy: -32.97 eV per cell
- Crystal system: orthorhombic
- Calculated formation energy: -0.31 eV per atom

Lattice parameters (Å, degrees): 5.5794 7.8684 10.2439 90.00 90.00 90.00
Closest atoms and distances in Å follow each position.
Fractional coordinates of all 12 atoms:
Sr1 0.5000 0.5143 0.5656  3 Hg 3.39-3.52
Sr2 0.5000 0.0143 0.4344  3 Hg 3.39-3.52
Ac1 0.0000 0.4873 0.9314  3 Hg 3.41-3.51
Ac2 0.0000 0.9873 0.0686  3 Hg 3.41-3.51
Ac3 0.5000 0.6554 0.1682  4 Hg 3.30-3.47
Ac4 0.5000 0.1554 0.8318  4 Hg 3.30-3.47
Ac5 0.0000 0.3447 0.3295  4 Hg 3.29-3.44
Ac6 0.0000 0.8447 0.6705  4 Hg 3.29-3.44
Hg1 0.5000 0.7362 0.8491  6 Ac 3.30-3.51, 1 Sr 3.39
Hg2 0.5000 0.2362 0.1509  6 Ac 3.30-3.51, 1 Sr 3.39
Hg3 0.0000 0.2621 0.6468  5 Ac 3.29-3.47, 2 Sr 3.52
Hg4 0.0000 0.7621 0.3532  5 Ac 3.29-3.47, 2 Sr 3.52